[1]
Here is an optimized crystal structure of CdSnTeC2 from the Alexandria database. Energies are from PBE-GGA.

Structure (extended XYZ):
```
5
Lattice="4.311 0.000 0.000 0.000 4.311 0.000 0.000 0.000 6.026" Properties=species:S:1:pos:R:3 pbc="T T T"
Cd 0.000 0.000 0.000
Sn 2.155 2.155 0.000
Te 2.155 2.155 3.013
C 0.000 2.155 3.013
C 2.155 0.000 3.013
```

Values from the calculation:
formation energy (no corrections): 2.12 eV per atom
crystal system: tetragonal
size of the total moment: 0.008 μB/atom
V: 112 Å³/f.u.
SG: P4/mmm

---

[2]
Here is an optimized crystal structure of YCdSn2C from the Alexandria database. Energies are from PBE-GGA.

Structure (extended XYZ):
```
5
Lattice="5.771 0.000 0.000 0.000 5.771 0.000 0.000 0.000 3.952" Properties=species:S:1:pos:R:3 pbc="T T T"
Y 0.000 0.000 0.000
Cd 2.886 2.886 1.976
Sn 0.000 2.886 1.976
Sn 2.886 0.000 1.976
C 2.886 2.886 0.000
```

Values from the calculation:
formation enthalpy at 0 K: 960 meV/atom
crystal system: tetragonal
size of the total moment: 0.000 μB/atom
V: 132 Å³/f.u.
SG: P4/mmm

---

[3]
Here is an optimized crystal structure of SrCd2C from the Alexandria database. Energies are from PBE-GGA.

Structure (extended XYZ):
```
8
Lattice="0.000 4.944 4.944 4.944 0.000 4.944 4.944 4.944 0.000" Properties=species:S:1:pos:R:3 pbc="T T T"
Sr 1.236 1.236 1.236
Sr 8.653 8.653 8.653
Cd 4.944 2.472 2.472
Cd 2.472 4.944 2.472
Cd 2.472 2.472 4.944
Cd 4.944 4.944 4.944
C 3.708 3.708 3.708
C 6.180 6.180 6.180
```

Values from the calculation:
formation enthalpy at 0 K: 722 meV/atom
crystal system: cubic
size of the total moment: 0.000 μB/atom
V: 121 Å³/f.u.
SG: Fd-3m

---

[4]
Here is an optimized crystal structure of SrCdC from the Alexandria database. Energies are from PBE-GGA.

Structure (extended XYZ):
```
6
Lattice="1.985 -7.991 0.000 1.985 7.991 0.000 -0.009 0.000 5.007" Properties=species:S:1:pos:R:3 pbc="T T T"
Sr 0.000 0.000 0.000
Sr 1.980 -3.140 2.504
Cd 1.985 3.553 0.000
Cd 1.980 2.069 2.504
C 1.974 -0.426 3.140
C 1.987 -0.426 1.868
```

Values from the calculation:
formation enthalpy at 0 K: 21 meV/atom
crystal system: monoclinic
size of the total moment: 0.000 μB/atom
V: 79 Å³/f.u.
SG: C2

---

[5]
Here is an optimized crystal structure of Sr2CdC from the Alexandria database. Energies are from PBE-GGA.

Structure (extended XYZ):
```
4
Lattice="0.000 3.718 3.718 3.718 0.000 3.718 3.718 3.718 0.000" Properties=species:S:1:pos:R:3 pbc="T T T"
Sr 1.859 1.859 1.859
Sr 5.577 5.577 5.577
Cd 0.000 0.000 0.000
C 3.718 3.718 3.718
```

Values from the calculation:
formation enthalpy at 0 K: 665 meV/atom
crystal system: cubic
size of the total moment: 0.000 μB/atom
V: 103 Å³/f.u.
SG: Fm-3m

---

[6]
Here is an optimized crystal structure of Sr2CdC from the Alexandria database. Energies are from PBE-GGA.

Structure (extended XYZ):
```
8
Lattice="-4.020 4.020 3.946 4.020 -4.020 3.946 4.020 4.020 -3.946" Properties=species:S:1:pos:R:3 pbc="T T T"
Sr 6.030 1.252 -0.987
Sr 1.252 2.010 0.987
Sr -2.010 2.767 2.960
Sr 2.767 2.010 4.933
Cd 4.020 0.000 1.973
Cd 0.000 0.000 3.946
C 0.000 0.000 0.000
C 0.000 4.020 1.973
```

Values from the calculation:
formation enthalpy at 0 K: 550 meV/atom
crystal system: tetragonal
size of the total moment: 0.000 μB/atom
V: 128 Å³/f.u.
SG: I-42d

---

[7]
Here is an optimized crystal structure of SrCdC from the Alexandria database. Energies are from PBE-GGA.

Structure (extended XYZ):
```
6
Lattice="3.948 0.000 0.000 0.000 3.907 0.000 -1.261 0.000 9.569" Properties=species:S:1:pos:R:3 pbc="T T T"
Sr 0.000 0.000 0.000
Sr 0.729 1.953 3.622
Cd 0.735 1.953 7.161
Cd 2.706 0.000 5.818
C 1.795 1.953 0.857
C 2.721 1.953 1.734
```

Values from the calculation:
formation enthalpy at 0 K: -14 meV/atom
crystal system: monoclinic
size of the total moment: 0.000 μB/atom
V: 74 Å³/f.u.
SG: Pm

---

[8]
Here is an optimized crystal structure of SrCd3C from the Alexandria database. Energies are from PBE-GGA.

Structure (extended XYZ):
```
5
Lattice="6.696 0.000 0.000 0.000 6.696 0.000 0.000 0.000 6.696" Properties=species:S:1:pos:R:3 pbc="T T T"
Sr 0.000 0.000 0.000
Cd 0.000 0.000 3.348
Cd 0.000 3.348 0.000
Cd 3.348 0.000 0.000
C 3.348 3.348 3.348
```

Values from the calculation:
formation enthalpy at 0 K: 1790 meV/atom
crystal system: cubic
excess energy over the best structure of this formula in the dataset: 1153 meV/atom
size of the total moment: 0.564 μB/atom
V: 300 Å³/f.u.
SG: Pm-3m

---

[9]
Here is an optimized crystal structure of SrCdC from the Alexandria database. Energies are from PBE-GGA.

Structure (extended XYZ):
```
6
Lattice="4.190 0.000 0.000 2.090 4.097 0.000 2.086 1.341 9.138" Properties=species:S:1:pos:R:3 pbc="T T T"
Sr 1.046 0.886 1.619
Sr 7.320 4.552 7.519
Cd 3.136 1.955 5.147
Cd 5.230 3.483 3.991
C 3.138 2.614 0.293
C 5.228 2.823 8.844
```

Values from the calculation:
formation enthalpy at 0 K: -56 meV/atom
crystal system: triclinic
size of the total moment: 0.000 μB/atom
V: 78 Å³/f.u.
SG: P-1

---

[10]
Here is an optimized crystal structure of SrCd3C from the Alexandria database. Energies are from PBE-GGA.

Structure (extended XYZ):
```
5
Lattice="4.925 0.000 0.000 0.000 4.925 0.000 0.000 0.000 4.925" Properties=species:S:1:pos:R:3 pbc="T T T"
Sr 0.000 0.000 0.000
Cd 0.000 2.462 2.462
Cd 2.462 0.000 2.462
Cd 2.462 2.462 0.000
C 2.462 2.462 2.462
```

Values from the calculation:
formation enthalpy at 0 K: 638 meV/atom
crystal system: cubic
excess energy over the best structure of this formula in the dataset: 0 meV/atom
size of the total moment: 0.000 μB/atom
V: 119 Å³/f.u.
SG: Pm-3m

---

[11]
Here is an optimized crystal structure of SrCdC from the Alexandria database. Energies are from PBE-GGA.

Structure (extended XYZ):
```
6
Lattice="4.116 0.000 0.000 -1.821 3.982 0.000 -0.080 -1.705 9.721" Properties=species:S:1:pos:R:3 pbc="T T T"
Sr 0.000 0.000 0.000
Sr 0.129 0.776 3.627
Cd 0.158 0.805 7.380
Cd 2.231 -0.697 6.053
C 2.058 1.311 1.462
C 2.258 2.302 2.235
```

Values from the calculation:
formation enthalpy at 0 K: 7 meV/atom
crystal system: triclinic
size of the total moment: 0.000 μB/atom
V: 80 Å³/f.u.
SG: P1

---

[12]
Here is an optimized crystal structure of SrCdC from the Alexandria database. Energies are from PBE-GGA.

Structure (extended XYZ):
```
6
Lattice="4.142 0.000 0.000 -1.816 4.044 0.000 -0.291 -0.200 9.535" Properties=species:S:1:pos:R:3 pbc="T T T"
Sr 0.034 1.128 1.601
Sr 2.001 2.715 7.933
Cd -0.010 1.164 5.459
Cd 2.046 2.680 4.076
C 0.185 3.493 0.318
C 1.850 0.350 9.217
```

Values from the calculation:
formation enthalpy at 0 K: -36 meV/atom
crystal system: triclinic
size of the total moment: 0.000 μB/atom
V: 80 Å³/f.u.
SG: P-1

---

[13]
Here is an optimized crystal structure of SrTaCdC2 from the Alexandria database. Energies are from PBE-GGA.

Structure (extended XYZ):
```
5
Lattice="4.397 0.000 0.000 0.000 4.397 0.000 0.000 0.000 5.389" Properties=species:S:1:pos:R:3 pbc="T T T"
Sr 0.000 0.000 0.000
Ta 2.199 2.199 0.000
Cd 0.000 0.000 2.695
C 0.000 2.199 2.695
C 2.199 0.000 2.695
```

Values from the calculation:
formation enthalpy at 0 K: 2957 meV/atom
crystal system: tetragonal
size of the total moment: 0.000 μB/atom
V: 104 Å³/f.u.
SG: P4/mmm

---

[14]
Here is an optimized crystal structure of SrCdTe2C from the Alexandria database. Energies are from PBE-GGA.

Structure (extended XYZ):
```
5
Lattice="5.858 0.000 0.000 0.000 5.858 0.000 0.000 0.000 4.311" Properties=species:S:1:pos:R:3 pbc="T T T"
Sr 0.000 0.000 0.000
Cd 2.929 2.929 2.156
Te 0.000 2.929 2.156
Te 2.929 0.000 2.156
C 2.929 2.929 0.000
```

Values from the calculation:
formation energy (no corrections): 0.49 eV per atom
crystal system: tetragonal
size of the total moment: 0.168 μB/atom
V: 148 Å³/f.u.
SG: P4/mmm

---

[15]
Here is an optimized crystal structure of SrCdTeC2 from the Alexandria database. Energies are from PBE-GGA.

Structure (extended XYZ):
```
5
Lattice="4.509 0.000 0.000 0.000 4.509 0.000 0.000 0.000 6.142" Properties=species:S:1:pos:R:3 pbc="T T T"
Sr 0.000 0.000 0.000
Cd 2.255 2.255 0.000
Te 0.000 0.000 3.071
C 0.000 2.255 3.071
C 2.255 0.000 3.071
```

Values from the calculation:
formation energy (no corrections): 1.87 eV per atom
crystal system: tetragonal
size of the total moment: 0.000 μB/atom
V: 125 Å³/f.u.
SG: P4/mmm

---

[16]
Here is an optimized crystal structure of SrTlCdC2 from the Alexandria database. Energies are from PBE-GGA.

Structure (extended XYZ):
```
5
Lattice="4.545 0.000 0.000 0.000 4.545 0.000 0.000 0.000 5.723" Properties=species:S:1:pos:R:3 pbc="T T T"
Sr 0.000 0.000 0.000
Tl 2.272 2.272 0.000
Cd 0.000 0.000 2.861
C 0.000 2.272 2.861
C 2.272 0.000 2.861
```

Values from the calculation:
formation enthalpy at 0 K: 2030 meV/atom
crystal system: tetragonal
size of the total moment: 0.000 μB/atom
V: 118 Å³/f.u.
SG: P4/mmm

---

[17]
Here is an optimized crystal structure of SrY2CdC from the Alexandria database. Energies are from PBE-GGA.

Structure (extended XYZ):
```
5
Lattice="4.908 0.000 0.000 0.000 4.908 0.000 0.000 0.000 5.566" Properties=species:S:1:pos:R:3 pbc="T T T"
Sr 0.000 0.000 0.000
Y 0.000 2.454 2.783
Y 2.454 0.000 2.783
Cd 2.454 2.454 0.000
C 0.000 0.000 2.783
```

Values from the calculation:
formation enthalpy at 0 K: -119 meV/atom
crystal system: tetragonal
size of the total moment: 0.000 μB/atom
V: 134 Å³/f.u.
SG: P4/mmm

---

[18]
Here is an optimized crystal structure of Ta2CdC from the Alexandria database. Energies are from PBE-GGA.

Structure (extended XYZ):
```
8
Lattice="-2.734 2.734 5.450 2.734 -2.734 5.450 2.734 2.734 -5.450" Properties=species:S:1:pos:R:3 pbc="T T T"
Ta 0.650 1.367 1.363
Ta -1.367 2.084 4.088
Ta -0.650 4.101 1.363
Ta 1.367 3.384 4.088
Cd 2.734 0.000 2.725
Cd 0.000 0.000 5.450
C 0.000 0.000 0.000
C 0.000 2.734 2.725
```

Values from the calculation:
formation enthalpy at 0 K: 793 meV/atom
crystal system: tetragonal
size of the total moment: 0.000 μB/atom
V: 81 Å³/f.u.
SG: I-42d

---

[19]
Here is an optimized crystal structure of Ta2CdC from the Alexandria database. Energies are from PBE-GGA.

Structure (extended XYZ):
```
4
Lattice="1.572 0.907 7.370 -1.572 0.907 7.370 0.000 -1.815 7.370" Properties=species:S:1:pos:R:3 pbc="T T T"
Ta 0.000 0.000 4.890
Ta 0.000 0.000 17.221
Cd 0.000 0.000 0.000
C 0.000 0.000 11.055
```

Values from the calculation:
formation enthalpy at 0 K: -313 meV/atom
crystal system: trigonal
size of the total moment: 0.000 μB/atom
V: 63 Å³/f.u.
SG: R-3m

---

[20]
Here is an optimized crystal structure of Ta3CdC from the Alexandria database. Energies are from PBE-GGA.

Structure (extended XYZ):
```
5
Lattice="4.940 0.000 0.000 0.000 4.940 0.000 0.000 0.000 4.940" Properties=species:S:1:pos:R:3 pbc="T T T"
Ta 0.000 0.000 2.470
Ta 0.000 2.470 0.000
Ta 2.470 0.000 0.000
Cd 0.000 0.000 0.000
C 2.470 2.470 2.470
```

Values from the calculation:
formation enthalpy at 0 K: 3485 meV/atom
crystal system: cubic
excess energy over the best structure of this formula in the dataset: 3476 meV/atom
size of the total moment: 0.000 μB/atom
V: 121 Å³/f.u.
SG: Pm-3m

---

[21]
Here is an optimized crystal structure of TaCdC2 from the Alexandria database. Energies are from PBE-GGA.

Structure (extended XYZ):
```
8
Lattice="-2.585 2.585 4.774 2.585 -2.585 4.774 2.585 2.585 -4.774" Properties=species:S:1:pos:R:3 pbc="T T T"
Ta 0.000 0.000 0.000
Ta 0.000 2.585 2.387
Cd 2.585 0.000 2.387
Cd 0.000 0.000 4.774
C 3.878 1.052 -1.193
C 1.052 1.293 1.193
C -1.293 1.533 3.580
C 1.533 1.293 5.967
```

Values from the calculation:
formation enthalpy at 0 K: 772 meV/atom
crystal system: tetragonal
size of the total moment: 0.000 μB/atom
V: 64 Å³/f.u.
SG: I-42d

---

[22]
Here is an optimized crystal structure of Ta2CdC from the Alexandria database. Energies are from PBE-GGA.

Structure (extended XYZ):
```
4
Lattice="0.000 3.145 3.145 3.145 0.000 3.145 3.145 3.145 0.000" Properties=species:S:1:pos:R:3 pbc="T T T"
Ta 1.572 1.572 1.572
Ta 4.717 4.717 4.717
Cd 0.000 0.000 0.000
C 3.145 3.145 3.145
```

Values from the calculation:
formation enthalpy at 0 K: 1354 meV/atom
crystal system: cubic
size of the total moment: 0.000 μB/atom
V: 62 Å³/f.u.
SG: Fm-3m

---

[23]
Here is an optimized crystal structure of TaCd2C from the Alexandria database. Energies are from PBE-GGA.

Structure (extended XYZ):
```
8
Lattice="-4.069 4.069 2.187 4.069 -4.069 2.187 4.069 4.069 -2.187" Properties=species:S:1:pos:R:3 pbc="T T T"
Ta 0.000 0.000 0.000
Ta 0.000 4.069 1.093
Cd 2.035 -1.225 1.640
Cd 2.845 2.035 0.547
Cd 2.035 5.294 -0.547
Cd 1.225 2.035 2.734
C 4.069 0.000 1.093
C 0.000 0.000 2.187
```

Values from the calculation:
formation enthalpy at 0 K: 924 meV/atom
crystal system: tetragonal
size of the total moment: 0.000 μB/atom
V: 72 Å³/f.u.
SG: I-42d

---

[24]
Here is an optimized crystal structure of Ta3CdC from the Alexandria database. Energies are from PBE-GGA.

Structure (extended XYZ):
```
5
Lattice="4.336 0.000 0.000 0.000 4.336 0.000 0.000 0.000 4.336" Properties=species:S:1:pos:R:3 pbc="T T T"
Ta 0.000 0.000 2.168
Ta 0.000 2.168 0.000
Ta 2.168 0.000 0.000
Cd 2.168 2.168 2.168
C 0.000 0.000 0.000
```

Values from the calculation:
formation enthalpy at 0 K: 9 meV/atom
crystal system: cubic
excess energy over the best structure of this formula in the dataset: 0 meV/atom
size of the total moment: 0.000 μB/atom
V: 81 Å³/f.u.
SG: Pm-3m

---

[25]
Here is an optimized crystal structure of ZrTa2CdC from the Alexandria database. Energies are from PBE-GGA.

Structure (extended XYZ):
```
5
Lattice="5.206 0.000 0.000 0.000 5.206 0.000 0.000 0.000 3.821" Properties=species:S:1:pos:R:3 pbc="T T T"
Zr 0.000 0.000 0.000
Ta 0.000 2.603 1.910
Ta 2.603 0.000 1.910
Cd 2.603 2.603 1.910
C 2.603 2.603 0.000
```

Values from the calculation:
formation enthalpy at 0 K: 2204 meV/atom
crystal system: tetragonal
size of the total moment: 0.000 μB/atom
V: 104 Å³/f.u.
SG: P4/mmm

---

[26]
Here is an optimized crystal structure of Tb4Cd2C from the Alexandria database. Energies are from PBE-GGA.

Structure (extended XYZ):
```
7
Lattice="-2.483 2.483 7.526 2.483 -2.483 7.526 2.483 2.483 -7.526" Properties=species:S:1:pos:R:3 pbc="T T T"
Tb 2.483 0.000 0.000
Tb 0.000 0.000 2.461
Tb 0.000 2.483 0.000
Tb 0.000 0.000 12.591
Cd 0.000 0.000 5.543
Cd 0.000 0.000 9.509
C 0.000 0.000 0.000
```

Values from the calculation:
formation enthalpy at 0 K: -196 meV/atom
crystal system: tetragonal
excess energy over the best structure of this formula in the dataset: 0 meV/atom
size of the total moment: 0.000 μB/atom
V: 186 Å³/f.u.
SG: I4/mmm

---

[27]
Here is an optimized crystal structure of Tb4CdC2 from the Alexandria database. Energies are from PBE-GGA.

Structure (extended XYZ):
```
7
Lattice="1.794 1.036 14.624 -1.794 1.036 14.624 0.000 -2.072 14.624" Properties=species:S:1:pos:R:3 pbc="T T T"
Tb 0.000 0.000 5.476
Tb 0.000 0.000 11.882
Tb 0.000 0.000 31.989
Tb 0.000 0.000 38.395
Cd 0.000 0.000 0.000
C 0.000 0.000 18.773
C 0.000 0.000 25.098
```

Values from the calculation:
formation enthalpy at 0 K: -262 meV/atom
crystal system: trigonal
size of the total moment: 0.001 μB/atom
V: 163 Å³/f.u.
SG: R-3m